1.
Material: Ce2FeH8
Method: DFT, PBE-GGA
State: optimized geometry

Cell: 6.3080 6.3080 6.3080 Å, 145.21 137.38 56.15°
Fractional positions:
Ce: 0.1619 0.1619 0.0000
Ce: 0.8381 0.8381 0.0000
Fe: 0.5000 0.5000 0.0000
H: 0.1540 0.3774 0.7766
H: 0.2766 0.7766 0.5000
H: 0.2925 0.0000 0.2925
H: 0.3992 0.6226 0.7766
H: 0.6008 0.3774 0.2234
H: 0.7075 0.0000 0.7075
H: 0.7234 0.2234 0.5000
H: 0.8460 0.6226 0.2234

Output
SG	Immm, No. 71
VASP energy	-4.5592	eV per atom


2.
Material: CeFeH2
Method: DFT, PBE-GGA
State: optimized geometry

Cell: 4.1885 4.1885 4.1885 Å, 56.94 56.94 56.94°
Fractional positions:
Ce: 0.0000 0.0000 0.0000
Fe: 0.5000 0.5000 0.5000
H: 0.3465 0.3465 0.3465
H: 0.6535 0.6535 0.6535

Output
SG	R-3m, No. 166
VASP energy	-5.4027	eV per atom


3.
Material: Ce3FeH
Method: DFT, PBE-GGA
State: optimized geometry

Cell: 4.9916 6.0406 7.4978 Å, 105.13 99.86 113.87°
Fractional positions:
Ce: 0.0784 0.3056 0.1223
Ce: 0.1777 0.2356 0.7538
Ce: 0.4044 0.7607 0.5862
Ce: 0.5956 0.2393 0.4138
Ce: 0.8223 0.7644 0.2462
Ce: 0.9216 0.6944 0.8777
Fe: 0.4571 0.8235 0.0855
Fe: 0.5429 0.1765 0.9145
H: 0.1194 0.2690 0.4346
H: 0.8806 0.7310 0.5654

Output
SG	P-1, No. 2
VASP energy	-6.0403	eV per atom


4.
Material: CeFeH6
Method: DFT, PBE-GGA
State: optimized geometry

Cell: 4.0501 4.0501 4.0378 Å, 99.11 99.11 98.63°
Fractional positions:
Ce: 0.0000 0.0000 0.0000
Fe: 0.5000 0.5000 0.5000
H: 0.2133 0.5672 0.2141
H: 0.2164 0.2164 0.5699
H: 0.4328 0.7867 0.7859
H: 0.5672 0.2133 0.2141
H: 0.7836 0.7836 0.4301
H: 0.7867 0.4328 0.7859

Output
SG	C2/m, No. 12
VASP energy	-4.5251	eV per atom
relative energy among the computed polymorphs	0.0996	eV/atom


5.
Material: CeHfFe2H6
Method: DFT, PBE-GGA
State: optimized geometry

Cell: 5.9242 5.9242 5.9242 Å, 43.49 43.49 43.49°
Fractional positions:
Ce: 0.0000 0.0000 0.0000
Hf: 0.5000 0.5000 0.5000
Fe: 0.2117 0.2117 0.2117
Fe: 0.7883 0.7883 0.7883
H: 0.0700 0.5595 0.5595
H: 0.4405 0.4405 0.9300
H: 0.4405 0.9300 0.4405
H: 0.5595 0.0700 0.5595
H: 0.5595 0.5595 0.0700
H: 0.9300 0.4405 0.4405

Output
SG	R-3m, No. 166
VASP energy	-5.6658	eV per atom


6.
Material: Ce6In2FeH
Method: DFT, PBE-GGA
State: optimized geometry

Cell: 7.0444 7.0422 6.9943 Å, 60.25 60.21 59.54°
Fractional positions:
Ce: 0.2306 0.2306 0.7694
Ce: 0.2469 0.7531 0.2469
Ce: 0.2476 0.7524 0.7524
Ce: 0.7524 0.2476 0.2476
Ce: 0.7531 0.2469 0.7531
Ce: 0.7694 0.7694 0.2306
In: 0.2500 0.2500 0.2500
In: 0.7500 0.7500 0.7500
Fe: 0.5000 0.5000 0.5000
H: 0.0000 0.0000 0.0000

Output
SG	Fmmm, No. 69
VASP energy	-5.5078	eV per atom